{"formula": "PuBeGeIr", "functional": "PBE", "state": "optimized geometry", "cell": [[4.0692, 0.0000, 0.0000], [2.0346, 3.5240, 0.0000], [2.0346, 1.1747, 5.0149]], "species": ["Pu", "Be", "Ge", "Ir"], "frac_coords": [[0.8174, 0.8174, 0.5478], [0.2801, 0.2801, 0.1596], [0.0184, 0.0184, 0.9449], [0.6100, 0.6100, 0.1701]], "total_magnetization_mub_per_atom": 1.35, "n_ef_per_ev_atom": 2.5997, "volume_a3_per_atom": 17.979, "energy_ev_per_atom": -8.280, "e_form_ev_per_atom": -0.396, "space_group": "R3m"}

{"formula": "Tb5CeIn4", "functional": "PBE", "state": "optimized geometry", "cell": [[8.3941, 0.0000, 0.0000], [0.0000, 8.4242, 0.0000], [0.0000, 0.0000, 9.1377]], "species": ["In", "In", "In", "In", "In", "In", "In", "In", "Tb", "Tb", "Tb", "Tb", "Tb", "Tb", "Tb", "Tb", "Tb", "Tb", "Ce", "Ce"], "frac_coords": [[0.5641, 0.3391, 0.0000], [0.4359, 0.8391, 0.5000], [0.5641, 0.6609, 0.0000], [0.4359, 0.1609, 0.5000], [0.9977, 0.5000, 0.3417], [0.0023, 0.0000, 0.8417], [0.9977, 0.5000, 0.6583], [0.0023, 0.0000, 0.1583], [0.7344, 0.2306, 0.6983], [0.7344, 0.2306, 0.3017], [0.0792, 0.0000, 0.5000], [0.2656, 0.2694, 0.8017], [0.2656, 0.2694, 0.1983], [0.9208, 0.5000, 0.0000], [0.2656, 0.7306, 0.1983], [0.7344, 0.7694, 0.6983], [0.2656, 0.7306, 0.8017], [0.7344, 0.7694, 0.3017], [0.6467, 0.0000, 0.0000], [0.3533, 0.5000, 0.5000]], "total_magnetization_mub_per_atom": 0.10, "n_ef_per_ev_atom": 1.3229, "volume_a3_per_atom": 32.308, "energy_ev_per_atom": -4.057, "e_form_ev_per_atom": -0.053, "space_group": "Pmmn"}

{"formula": "H2PtCS", "functional": "PBE", "state": "optimized geometry", "cell": [[3.2639, 0.0000, 0.0000], [0.0000, 4.7822, 0.0000], [0.0000, 0.0000, 3.2639]], "species": ["H", "H", "Pt", "S", "C"], "frac_coords": [[0.0000, 0.0000, 0.5000], [0.5000, 0.0000, 0.0000], [0.5000, 0.5000, 0.5000], [0.0000, 0.5000, 0.0000], [0.0000, 0.0000, 0.0000]], "total_magnetization_mub_per_atom": 0.00, "n_ef_per_ev_atom": 0.3295, "volume_a3_per_atom": 10.189, "energy_ev_per_atom": -4.093, "space_group": "P4/mmm"}

{"formula": "Na2TaBr", "functional": "PBE", "state": "optimized geometry", "cell": [[-1.0740, -3.2967, 7.9485], [6.9423, -5.0650, -1.1627], [4.4673, -2.3055, 4.3779]], "species": ["Br", "Br", "Ta", "Ta", "Na", "Na", "Na", "Na"], "frac_coords": [[0.5000, 0.5000, 0.0000], [0.2500, 0.7500, 0.5000], [0.7500, 0.2500, 0.5000], [0.0000, 0.0000, 0.0000], [0.3750, 0.4227, 0.7500], [0.8750, 0.8273, 0.7500], [0.5773, 0.1250, 0.2500], [0.1727, 0.6250, 0.2500]], "total_magnetization_mub_per_atom": 0.00, "n_ef_per_ev_atom": 0.9486, "formation_energy_uncorrected_mev_per_atom": 819, "volume_a3_per_atom": 24.580, "energy_ev_per_atom": -3.222, "space_group": "I-42d"}

{"formula": "Pa3Fe5Ge6", "functional": "PBE", "state": "optimized geometry", "cell": [[-3.0040, -0.7354, 2.5320], [3.8587, -7.7617, 2.3238], [6.2701, 5.8533, 9.1389]], "species": ["Pa", "Pa", "Pa", "Pa", "Pa", "Pa", "Ge", "Ge", "Ge", "Ge", "Ge", "Ge", "Ge", "Ge", "Ge", "Ge", "Ge", "Ge", "Fe", "Fe", "Fe", "Fe", "Fe", "Fe", "Fe", "Fe", "Fe", "Fe"], "frac_coords": [[0.0000, 0.2500, 0.6977], [0.0000, 0.2650, 0.0000], [0.5000, 0.7350, 0.5000], [0.5000, 0.7500, 0.1977], [0.0000, 0.2500, 0.3023], [0.5000, 0.7500, 0.8023], [0.5000, 0.4039, 0.8274], [0.0000, 0.5961, 0.6726], [0.0000, 0.4212, 0.5000], [0.0000, 0.0261, 0.5000], [0.5000, 0.9739, 0.0000], [0.0000, 0.5961, 0.3274], [0.0000, 0.9835, 0.8460], [0.0000, 0.9835, 0.1540], [0.5000, 0.4039, 0.1726], [0.5000, 0.0165, 0.6540], [0.5000, 0.5788, 0.0000], [0.5000, 0.0165, 0.3460], [0.5000, 0.1374, 0.8411], [0.0000, 0.5403, 0.8916], [0.5000, 0.4597, 0.6084], [0.0000, 0.8626, 0.3411], [0.5000, 0.4597, 0.3916], [0.5000, 0.1374, 0.1589], [0.0000, 0.5403, 0.1084], [0.0000, 0.8626, 0.6589], [0.0000, 0.7854, 0.0000], [0.5000, 0.2146, 0.5000]], "total_magnetization_mub_per_atom": 0.07, "n_ef_per_ev_atom": 0.9227, "volume_a3_per_atom": 16.056, "energy_ev_per_atom": -7.369, "e_form_ev_per_atom": -0.333, "space_group": "Pmmn"}

{"formula": "AcPr2Dy2", "functional": "PBE", "state": "optimized geometry", "cell": [[5.2762, 0.0000, -2.9703], [-1.6723, 5.0042, -2.9704], [0.2645, 0.3685, 6.6410]], "species": ["Ac", "Pr", "Pr", "Dy", "Dy"], "frac_coords": [[0.5000, 0.0000, 0.5000], [0.1428, 0.6430, 0.7855], [0.8572, 0.3570, 0.2145], [0.2500, 0.2503, 0.0000], [0.7500, 0.7497, 0.0000]], "total_magnetization_mub_per_atom": 0.00, "n_ef_per_ev_atom": 1.3139, "volume_a3_per_atom": 37.377, "energy_ev_per_atom": -4.189, "e_form_ev_per_atom": 0.385, "space_group": "I4/mmm"}